1.
HgS2O6F2 | the Alexandria database | PBE | relaxed; crystal system = trigonal; E_form (uncorrected) = -1.278 eV/atom; raw total energy = -56.11 eV for the cell shown; space group = No. 147; total magnetization = 0.00 μB/f.u.
1.0
5.348 0.000 0.000
-2.674 4.631 0.000
0.000 0.000 7.332
Hg S O F
1 2 6 2
direct
0.000 0.000 0.000
0.333 0.667 0.766
0.667 0.333 0.234
0.322 0.396 0.812
0.074 0.678 0.812
0.604 0.926 0.812
0.678 0.604 0.188
0.926 0.322 0.188
0.396 0.074 0.188
0.333 0.667 0.550
0.667 0.333 0.450

2.
HgSO4F2 | the Alexandria database | PBE | relaxed; crystal system = monoclinic; E_form (uncorrected) = -0.261 eV/atom; raw total energy = -60.19 eV for the cell shown; space group = No. 15; total magnetization = 2.02 μB/f.u.
1.0
6.275 -0.906 -1.708
-0.910 6.274 -1.708
-3.898 -3.901 7.920
Hg S O F
2 2 8 4
direct
0.000 0.500 0.000
0.000 0.500 0.500
0.500 0.500 0.500
0.000 0.000 0.000
0.154 0.830 0.000
0.670 0.346 0.500
0.330 0.654 0.500
0.846 0.170 0.000
0.611 0.611 0.752
0.889 0.889 0.748
0.111 0.111 0.252
0.389 0.389 0.248
0.500 0.000 0.000
0.500 0.000 0.500
0.000 0.000 0.500
0.500 0.500 0.000

3.
HgSOF2 | the Alexandria database | PBE | relaxed; crystal system = tetragonal; E_form (uncorrected) = 0.073 eV/atom; raw total energy = -12.77 eV for the cell shown; E above lowest polymorph = 0.548 eV/atom; space group = No. 123; total magnetization = 3.35 μB/f.u.
1.0
4.531 0.000 0.000
0.000 4.531 0.000
0.000 0.000 4.213
S Hg O F
1 1 1 2
direct
0.500 0.500 0.500
0.000 0.000 0.000
0.000 0.000 0.500
0.000 0.500 0.000
0.500 0.000 0.000

4.
Ta2Hg3SO4F10 | the Alexandria database | PBE | relaxed; crystal system = orthorhombic; E_form (uncorrected) = -2.304 eV/atom; raw total energy = -226.75 eV for the cell shown; space group = No. 43; total magnetization = 0.00 μB/f.u.
1.0
9.279 0.058 0.000
-4.394 8.173 0.000
-2.442 -4.115 9.409
Ta Hg S O F
4 6 2 8 20
direct
0.875 0.495 0.888
0.608 0.987 0.112
0.745 0.625 0.388
0.237 0.358 0.612
0.498 0.998 0.500
0.248 0.248 0.000
0.675 0.946 0.700
0.246 0.975 0.300
0.196 0.425 0.200
0.225 0.996 0.800
0.858 0.858 0.000
0.108 0.608 0.500
0.788 0.664 0.930
0.734 0.858 0.070
0.914 0.538 0.430
0.108 0.484 0.570
0.852 0.934 0.893
0.041 0.959 0.107
0.184 0.602 0.393
0.209 0.791 0.607
0.962 0.346 0.865
0.482 0.098 0.135
0.596 0.712 0.365
0.348 0.232 0.635
0.669 0.325 0.903
0.422 0.766 0.097
0.575 0.419 0.403
0.016 0.172 0.597
0.065 0.685 0.867
0.818 0.198 0.133
0.935 0.815 0.367
0.448 0.568 0.633
0.743 0.397 0.687
0.710 0.056 0.313
0.647 0.493 0.187
0.306 0.460 0.813
0.015 0.598 0.090
0.508 0.926 0.910
0.848 0.765 0.590
0.176 0.258 0.410

5.
HgSbOF2 | the Alexandria database | PBE | relaxed; crystal system = tetragonal; E_form (uncorrected) = -1.268 eV/atom; raw total energy = -19.47 eV for the cell shown; E above lowest polymorph = 0.000 eV/atom; space group = No. 123; total magnetization = 0.00 μB/f.u.
1.0
-4.246 -0.614 -1.504
0.084 -4.286 1.513
-1.483 1.267 3.671
Sb Hg O F
1 1 1 2
direct
0.000 0.000 0.000
0.500 0.500 0.500
0.000 0.000 0.500
0.000 0.500 0.000
0.500 0.000 0.000

6.
HgSbOF2 | the Alexandria database | PBE | relaxed; crystal system = tetragonal; E_form (uncorrected) = -0.470 eV/atom; raw total energy = -15.48 eV for the cell shown; E above lowest polymorph = 0.798 eV/atom; space group = No. 123; total magnetization = 0.44 μB/f.u.
1.0
4.882 0.000 0.000
0.000 3.912 0.000
0.000 0.000 4.882
Sb Hg O F
1 1 1 2
direct
0.000 0.500 0.000
0.500 0.500 0.500
0.000 0.000 0.000
0.000 0.000 0.500
0.500 0.000 0.000

Q: What is the formula in the fourth record?
A: Ta2Hg3SO4F10

Q: Which value of raw total energy does entry 2 give?
A: -60.19 eV for the cell shown

Q: What is the formula in the first record?
A: HgS2O6F2

Q: Which formula does entry 4 have?
A: Ta2Hg3SO4F10